Record 1
A plane-wave DFT calculation with PBE was carried out for an optimized crystal structure of TlCdGa2.

Computed properties:
**Formation enthalpy at 0 K**: 101 meV/atom
**Energy above the most stable polymorph in this dataset**: 42 meV per atom

```
TlCdGa2
1.0
-1.0709 1.9399 2.3541
1.0117 -0.4360 3.0394
7.8692 6.9248 0.0932
Tl Cd Ga
1 1 2
direct
0.5003 0.5003 0.4991
0.6667 0.6667 0.0000
0.0781 0.0781 0.7657
0.2549 0.2549 0.2352
```



Record 2
A plane-wave DFT calculation with PBE was carried out for an optimized crystal structure of BaLa2IrI.

Computed properties:
**ΔE_f (raw)**: -568 meV per atom

```
BaLa2IrI
1.0
-0.1736 3.9974 -3.7703
-5.4685 -0.4957 -0.2738
-0.6759 4.6918 5.0055
I Ir Ba La
1 1 1 2
direct
0.5000 0.5000 0.5000
0.0000 0.0000 0.0000
0.0000 0.0000 0.5000
0.0000 0.5000 0.0000
0.5000 0.0000 0.0000
```



| no. | VASP energy (eV per atom) |
| --- | --- |
| 1 | -2.232 |
| 2 | -5.006 |